# 1
Material: ThCuTe4
Method: DFT, GGA-PBE
State: relaxed

CIF file:
```
data_ThCuTe4
_space_group_name_H-M_alt 'P 1'
_space_group_IT_number 1
_cell_length_a 6.235
_cell_length_b 10.349
_cell_length_c 6.261
_cell_angle_alpha 90.00
_cell_angle_beta 103.63
_cell_angle_gamma 90.00
loop_
_space_group_symop_operation_xyz
'x,y,z'
loop_
_atom_site_label
_atom_site_type_symbol
_atom_site_fract_x
_atom_site_fract_y
_atom_site_fract_z
Th1 Th 0.139 0.250 0.196
Th2 Th 0.861 0.750 0.804
Cu1 Cu 0.072 0.750 0.332
Cu2 Cu 0.928 0.250 0.668
Te1 Te 0.206 0.556 0.130
Te2 Te 0.206 0.944 0.130
Te3 Te 0.338 0.750 0.698
Te4 Te 0.340 0.250 0.725
Te5 Te 0.660 0.750 0.275
Te6 Te 0.662 0.250 0.302
Te7 Te 0.794 0.056 0.870
Te8 Te 0.794 0.444 0.870
```

Results
- electronic total energy (eV/atom) = -4.51
- ρ (g cm⁻³) = 6.8
- DOS at the Fermi energy (states/eV per atom) = 0.54

=====

# 2
Material: AgPd2I6
Method: DFT, GGA-PBE
State: relaxed

CIF file:
```
data_AgPd2I6
_space_group_name_H-M_alt 'P 1'
_space_group_IT_number 1
_cell_length_a 7.210
_cell_length_b 7.210
_cell_length_c 7.318
_cell_angle_alpha 90.00
_cell_angle_beta 90.00
_cell_angle_gamma 120.00
loop_
_space_group_symop_operation_xyz
'x,y,z'
loop_
_atom_site_label
_atom_site_type_symbol
_atom_site_fract_x
_atom_site_fract_y
_atom_site_fract_z
Ag1 Ag 0.000 0.000 0.000
Pd1 Pd 0.333 0.667 0.000
Pd2 Pd 0.667 0.333 0.000
I1 I 0.000 0.359 0.217
I2 I 0.000 0.641 0.783
I3 I 0.359 0.000 0.217
I4 I 0.359 0.359 0.783
I5 I 0.641 0.000 0.783
I6 I 0.641 0.641 0.217
```

Results
- electronic total energy (eV/atom) = -2.62
- ρ (g cm⁻³) = 5.5
- DOS at the Fermi energy (states/eV per atom) = 0.88

=====

# 3
Material: Ti2Nb2Tc
Method: DFT, GGA-PBE
State: relaxed

CIF file:
```
data_Ti2Nb2Tc
_space_group_name_H-M_alt 'P 1'
_space_group_IT_number 1
_cell_length_a 8.434
_cell_length_b 8.434
_cell_length_c 8.434
_cell_angle_alpha 158.13
_cell_angle_beta 158.13
_cell_angle_gamma 31.12
loop_
_space_group_symop_operation_xyz
'x,y,z'
loop_
_atom_site_label
_atom_site_type_symbol
_atom_site_fract_x
_atom_site_fract_y
_atom_site_fract_z
Ti1 Ti 0.091 0.091 0.000
Ti2 Ti 0.909 0.909 0.000
Nb1 Nb 0.301 0.301 0.000
Nb2 Nb 0.699 0.699 0.000
Tc1 Tc 0.500 0.500 0.000
```

Results
- electronic total energy (eV/atom) = -9.44
- ρ (g cm⁻³) = 7.6
- ΔH_f (0 K) (kJ per mole of atoms) = -17.0
- DOS at the Fermi energy (states/eV per atom) = 1.46

=====

# 4
Material: ZnRu3
Method: DFT, GGA-PBE
State: relaxed

CIF file:
```
data_ZnRu3
_space_group_name_H-M_alt 'P 1'
_space_group_IT_number 1
_cell_length_a 8.878
_cell_length_b 8.878
_cell_length_c 8.878
_cell_angle_alpha 17.63
_cell_angle_beta 17.63
_cell_angle_gamma 17.63
loop_
_space_group_symop_operation_xyz
'x,y,z'
loop_
_atom_site_label
_atom_site_type_symbol
_atom_site_fract_x
_atom_site_fract_y
_atom_site_fract_z
Zn1 Zn 0.000 0.000 0.000
Ru1 Ru 0.249 0.249 0.249
Ru2 Ru 0.500 0.500 0.500
Ru3 Ru 0.751 0.751 0.751
```

Results
- electronic total energy (eV/atom) = -7.20
- ρ (g cm⁻³) = 10.9
- ΔH_f (0 K) (kJ per mole of atoms) = 7.2
- DOS at the Fermi energy (states/eV per atom) = 1.01

=====

# 5
Material: YTeP2
Method: DFT, GGA-PBE
State: relaxed

CIF file:
```
data_YTeP2
_space_group_name_H-M_alt 'P 1'
_space_group_IT_number 1
_cell_length_a 8.311
_cell_length_b 8.311
_cell_length_c 8.311
_cell_angle_alpha 139.13
_cell_angle_beta 139.13
_cell_angle_gamma 59.17
loop_
_space_group_symop_operation_xyz
'x,y,z'
loop_
_atom_site_label
_atom_site_type_symbol
_atom_site_fract_x
_atom_site_fract_y
_atom_site_fract_z
Y1 Y 0.000 0.000 0.000
Y2 Y 0.750 0.250 0.500
Te1 Te 0.250 0.750 0.500
Te2 Te 0.500 0.500 0.000
P1 P 0.135 0.625 0.010
P2 P 0.375 0.385 0.510
P3 P 0.615 0.125 0.990
P4 P 0.875 0.865 0.490
```

Results
- electronic total energy (eV/atom) = -5.22
- ρ (g cm⁻³) = 3.8
- DOS at the Fermi energy (states/eV per atom) = 0.54

=====

# 6
Material: Ac12NiAg6
Method: DFT, GGA-PBE
State: relaxed

CIF file:
```
data_Ac12NiAg6
_space_group_name_H-M_alt 'P 1'
_space_group_IT_number 1
_cell_length_a 9.117
_cell_length_b 9.117
_cell_length_c 9.117
_cell_angle_alpha 98.19
_cell_angle_beta 98.19
_cell_angle_gamma 98.19
loop_
_space_group_symop_operation_xyz
'x,y,z'
loop_
_atom_site_label
_atom_site_type_symbol
_atom_site_fract_x
_atom_site_fract_y
_atom_site_fract_z
Ac1 Ac 0.016 0.928 0.685
Ac2 Ac 0.072 0.315 0.984
Ac3 Ac 0.191 0.563 0.416
Ac4 Ac 0.315 0.984 0.072
Ac5 Ac 0.416 0.191 0.563
Ac6 Ac 0.437 0.584 0.809
Ac7 Ac 0.563 0.416 0.191
Ac8 Ac 0.584 0.809 0.437
Ac9 Ac 0.685 0.016 0.928
Ac10 Ac 0.809 0.437 0.584
Ac11 Ac 0.928 0.685 0.016
Ac12 Ac 0.984 0.072 0.315
Ni1 Ni 0.000 0.000 0.000
Ag1 Ag 0.125 0.313 0.642
Ag2 Ag 0.313 0.642 0.125
Ag3 Ag 0.358 0.875 0.687
Ag4 Ag 0.642 0.125 0.313
Ag5 Ag 0.687 0.358 0.875
Ag6 Ag 0.875 0.687 0.358
```

Results
- electronic total energy (eV/atom) = -3.84
- ρ (g cm⁻³) = 7.8
- ΔH_f (0 K) (kJ per mole of atoms) = -4.2
- DOS at the Fermi energy (states/eV per atom) = 1.27

=====

# 7
Material: YPtW
Method: DFT, GGA-PBE
State: relaxed

CIF file:
```
data_YPtW
_space_group_name_H-M_alt 'P 1'
_space_group_IT_number 1
_cell_length_a 5.511
_cell_length_b 5.511
_cell_length_c 7.340
_cell_angle_alpha 127.05
_cell_angle_beta 127.05
_cell_angle_gamma 47.54
loop_
_space_group_symop_operation_xyz
'x,y,z'
loop_
_atom_site_label
_atom_site_type_symbol
_atom_site_fract_x
_atom_site_fract_y
_atom_site_fract_z
Y1 Y 0.062 0.062 0.316
Y2 Y 0.938 0.938 0.684
Pt1 Pt 0.331 0.331 0.280
Pt2 Pt 0.669 0.669 0.720
W1 W 0.349 0.349 0.930
W2 W 0.651 0.651 0.070
```

Results
- electronic total energy (eV/atom) = -8.82
- ρ (g cm⁻³) = 12.6
- ΔH_f (0 K) (kJ per mole of atoms) = -32.3
- DOS at the Fermi energy (states/eV per atom) = 0.92

=====

# 8
Material: SbNClF2
Method: DFT, GGA-PBE
State: relaxed

CIF file:
```
data_SbNClF2
_space_group_name_H-M_alt 'P 1'
_space_group_IT_number 1
_cell_length_a 4.277
_cell_length_b 4.277
_cell_length_c 4.119
_cell_angle_alpha 90.00
_cell_angle_beta 90.00
_cell_angle_gamma 90.00
loop_
_space_group_symop_operation_xyz
'x,y,z'
loop_
_atom_site_label
_atom_site_type_symbol
_atom_site_fract_x
_atom_site_fract_y
_atom_site_fract_z
Sb1 Sb 0.000 0.000 0.000
N1 N 0.500 0.500 0.000
Cl1 Cl 0.500 0.500 0.500
F1 F 0.000 0.500 0.500
F2 F 0.500 0.000 0.500
```

Results
- electronic total energy (eV/atom) = -2.95
- ρ (g cm⁻³) = 4.6
- DOS at the Fermi energy (states/eV per atom) = 0.40